The following is a GGA-PBE calculation of a geometry-optimized GdTmCdTc structure, from Alexandria.

Cell and atoms, written as POSCAR:
```
GdTmCdTc
1.0
7.115 0.000 0.000
0.000 7.115 0.000
0.000 0.000 7.115
Gd Tm Cd Tc
4 4 4 4
Direct
0.000 0.000 0.000
0.000 0.500 0.500
0.500 0.000 0.500
0.500 0.500 0.000
0.000 0.000 0.500
0.000 0.500 0.000
0.500 0.000 0.000
0.500 0.500 0.500
0.250 0.250 0.750
0.250 0.750 0.250
0.750 0.250 0.250
0.750 0.750 0.750
0.250 0.250 0.250
0.250 0.750 0.750
0.750 0.250 0.750
0.750 0.750 0.250
```

- E (eV/atom) = -7.553
- E_form (eV per atom) = -0.094
- space group = F-43m, No. 216
- density of states at the Fermi level (states/eV/atom) = 0.690